## Y2HoSn (PBE)

Data for an optimized crystal structure of Y2HoSn.

Geometry as CIF:
```
data_Y2HoSn
_cell_length_a 5.1337
_cell_length_b 5.1337
_cell_length_c 17.2145
_cell_angle_alpha 90.00
_cell_angle_beta 90.00
_cell_angle_gamma 120.00
_space_group_name_H-M_alt 'R 3 m'
_space_group_IT_number 160
_space_group_name_Hall 'R 3 -2"'
loop_
_atom_site_label
_atom_site_type_symbol
_atom_site_fract_x
_atom_site_fract_y
_atom_site_fract_z
Y1 Y 0.0000 0.0000 0.0000
Y2 Y 0.0000 0.0000 0.2200
Ho1 Ho 0.0000 0.0000 0.4366
Sn1 Sn 0.0000 0.0000 0.6284
```

Results
E_tot in eV/atom: -5.493
Offset from the most stable computed form in eV/atom: 0.2971